Record 1
# PBE-GGA Ir2Au, relaxed
# - formation energy (eV/atom) = 0.70
# - E above lowest polymorph (eV/f.u.) = 1.42
# - calculated volume (Å³/cell) = 95.7
data_Ir2Au
_cell_length_a 4.5275
_cell_length_b 4.5275
_cell_length_c 5.3921
_cell_angle_alpha 90.00
_cell_angle_beta 90.00
_cell_angle_gamma 120.00
_space_group_name_H-M_alt 'P 63/m m c'
_space_group_IT_number 194
_space_group_name_Hall '-P 6c 2c'
loop_
_atom_site_label
_atom_site_type_symbol
_atom_site_fract_x
_atom_site_fract_y
_atom_site_fract_z
_atom_site_occupancy
Ir1 Ir 0.0000 0.0000 0.0000 1
Ir2 Ir 0.3333 0.6667 0.2500 1
Au1 Au 0.3333 0.6667 0.7500 1



Record 2
# PBE-GGA Ce5GeTe5, relaxed
# - ΔE_f (raw) (meV/atom) = -1240
# - calculated volume (Å³/cell) = 744.8
data_Ce5GeTe5
_cell_length_a 14.097
_cell_length_b 6.293
_cell_length_c 8.860
_cell_angle_alpha 90.00
_cell_angle_beta 108.64
_cell_angle_gamma 90.00
_space_group_name_H-M_alt 'C 1 2/m 1'
_space_group_IT_number 12
loop_
_space_group_symop_operation_xyz
'x,y,z'
'-x,-y,-z'
'-x,y,-z'
'x,-y,z'
'x+1/2,y+1/2,z'
'-x+1/2,-y+1/2,-z'
'-x+1/2,y+1/2,-z'
'x+1/2,-y+1/2,z'
loop_
_atom_site_label
_atom_site_type_symbol
_atom_site_fract_x
_atom_site_fract_y
_atom_site_fract_z
_atom_site_occupancy
Ce1 Ce 0.000 0.000 0.000 1
Ce2 Ce 0.159 0.500 0.323 1
Ce3 Ce 0.160 0.500 0.839 1
Ge1 Ge 0.000 0.500 0.000 1
Te1 Te 0.000 0.500 0.500 1
Te2 Te 0.163 0.000 0.825 1
Te3 Te 0.171 0.000 0.336 1



Record 3
# PBE-GGA SmSiNiN, relaxed
# - ΔE_f (raw) (meV/atom) = -1096
# - calculated volume (Å³/cell) = 114.9
data_SmSiNiN
_cell_length_a 3.720
_cell_length_b 3.720
_cell_length_c 8.300
_cell_angle_alpha 90.00
_cell_angle_beta 90.00
_cell_angle_gamma 90.00
_space_group_name_H-M_alt 'P 4/n m m'
_space_group_IT_number 129
loop_
_space_group_symop_operation_xyz
'x,y,z'
'-x,-y,-z'
'-y+1/2,x,z'
'y+1/2,-x,-z'
'-x+1/2,-y+1/2,z'
'x+1/2,y+1/2,-z'
'y,-x+1/2,z'
'-y,x+1/2,-z'
'x+1/2,-y,-z'
'-x+1/2,y,z'
'-y,-x,-z'
'y,x,z'
'-x,y+1/2,-z'
'x,-y+1/2,z'
'y+1/2,x+1/2,-z'
'-y+1/2,-x+1/2,z'
loop_
_atom_site_label
_atom_site_type_symbol
_atom_site_fract_x
_atom_site_fract_y
_atom_site_fract_z
_atom_site_occupancy
Sm1 Sm 0.250 0.250 0.156 1
Si1 Si 0.250 0.250 0.658 1
Ni1 Ni 0.250 0.750 0.500 1
N1 N 0.250 0.250 0.871 1



Record 4
# PBE-GGA BaAl2ZnOs, relaxed
# - formation energy (eV/atom) = -0.30
# - calculated volume (Å³/cell) = 117.7
data_BaAl2ZnOs
_cell_length_a 4.830
_cell_length_b 4.830
_cell_length_c 5.046
_cell_angle_alpha 90.00
_cell_angle_beta 90.00
_cell_angle_gamma 90.00
_space_group_name_H-M_alt 'P 4/m m m'
_space_group_IT_number 123
_space_group_name_Hall '-P 4 2'
loop_
_atom_site_label
_atom_site_type_symbol
_atom_site_fract_x
_atom_site_fract_y
_atom_site_fract_z
_atom_site_occupancy
Ba1 Ba 0.000 0.000 0.000 1
Al1 Al 0.000 0.500 0.500 1
Zn1 Zn 0.500 0.500 0.000 1
Os1 Os 0.500 0.500 0.500 1



Record 5
# PBE-GGA RbLi2MgGa, relaxed
# - formation energy (eV/atom) = 0.01
# - calculated volume (Å³/cell) = 149.5
data_RbLi2MgGa
_cell_length_a 5.383
_cell_length_b 5.383
_cell_length_c 5.161
_cell_angle_alpha 90.00
_cell_angle_beta 90.00
_cell_angle_gamma 90.00
_space_group_name_H-M_alt 'P 4/m m m'
_space_group_IT_number 123
_space_group_name_Hall '-P 4 2'
loop_
_atom_site_label
_atom_site_type_symbol
_atom_site_fract_x
_atom_site_fract_y
_atom_site_fract_z
_atom_site_occupancy
Rb1 Rb 0.000 0.000 0.000 1
Li1 Li 0.000 0.500 0.500 1
Mg1 Mg 0.500 0.500 0.000 1
Ga1 Ga 0.500 0.500 0.500 1



Record 6
# PBE-GGA Sr6HgN3, relaxed
# - ΔE_f (raw) (meV/atom) = -511
# - calculated volume (Å³/cell) = 570.7
data_Sr6HgN3
_cell_length_a 10.682
_cell_length_b 3.813
_cell_length_c 14.424
_cell_angle_alpha 90.00
_cell_angle_beta 103.69
_cell_angle_gamma 90.00
_space_group_name_H-M_alt 'P 1 21/m 1'
_space_group_IT_number 11
loop_
_space_group_symop_operation_xyz
'x,y,z'
'-x,-y,-z'
'-x,y+1/2,-z'
'x,-y+1/2,z'
loop_
_atom_site_label
_atom_site_type_symbol
_atom_site_fract_x
_atom_site_fract_y
_atom_site_fract_z
_atom_site_occupancy
Sr1 Sr 0.017 0.250 0.246 1
Sr2 Sr 0.128 0.250 0.061 1
Sr3 Sr 0.175 0.250 0.603 1
Sr4 Sr 0.250 0.250 0.854 1
Sr5 Sr 0.363 0.750 0.455 1
Sr6 Sr 0.454 0.750 0.711 1
Hg1 Hg 0.419 0.750 0.054 1
N1 N 0.011 0.250 0.882 1
N2 N 0.212 0.750 0.727 1
N3 N 0.412 0.250 0.582 1



Record 7
# PBE-GGA KRbLaRe2, relaxed
# - formation energy (eV/atom) = 2.83
# - calculated volume (Å³/cell) = 140.0
data_KRbLaRe2
_cell_length_a 5.074
_cell_length_b 5.074
_cell_length_c 5.436
_cell_angle_alpha 90.00
_cell_angle_beta 90.00
_cell_angle_gamma 90.00
_space_group_name_H-M_alt 'P 4/m m m'
_space_group_IT_number 123
_space_group_name_Hall '-P 4 2'
loop_
_atom_site_label
_atom_site_type_symbol
_atom_site_fract_x
_atom_site_fract_y
_atom_site_fract_z
_atom_site_occupancy
K1 K 0.000 0.000 0.000 1
Rb1 Rb 0.500 0.500 0.500 1
La1 La 0.000 0.000 0.500 1
Re1 Re 0.000 0.500 0.000 1



Record 8
# PBE-GGA CeAs2Os, relaxed
# - formation energy (eV/atom) = -0.27
# - calculated volume (Å³/cell) = 229.6
data_CeAs2Os
_cell_length_a 4.9948
_cell_length_b 4.9948
_cell_length_c 10.6263
_cell_angle_alpha 90.00
_cell_angle_beta 90.00
_cell_angle_gamma 120.00
_space_group_name_H-M_alt 'R -3 m'
_space_group_IT_number 166
_space_group_name_Hall '-R 3 2"'
loop_
_atom_site_label
_atom_site_type_symbol
_atom_site_fract_x
_atom_site_fract_y
_atom_site_fract_z
_atom_site_occupancy
Ce1 Ce 0.0000 0.0000 0.0000 1
As1 As 0.0000 0.0000 0.2642 1
Os1 Os 0.0000 0.0000 0.5000 1



no.,spin magnetization (μB per formula unit)
1,0.0
2,1.1
3,0.0
4,0.0
5,0.0
6,0.0
7,2.1
8,0.0